1.
Below is ZrCrRu2 after structural relaxation, with properties calculated at the PBE-GGA level. Values from VASP.

```
&SYSTEM
  ibrav = 0, nat = 4, ntyp = 3
/
ATOMIC_SPECIES
Zr 91.22 Zr.upf
Ru 101.07 Ru.upf
Cr 52.00 Cr.upf
ATOMIC_POSITIONS angstrom
Zr 2.215 0.000 1.597
Ru 2.215 2.215 0.000
Ru 0.000 0.000 0.000
Cr 0.000 2.215 1.597
CELL_PARAMETERS angstrom
4.430 0.000 0.000
0.000 4.430 0.000
0.000 0.000 3.195
```

Properties
The space-group type is No. 123. The value obtained for the total magnetization is 2.5 μB per formula unit. The value obtained for the energy is -0.344 hartree per atom. For the formation energy from the elements, the calculation gives -167 meV per atom.



2.
Below is ZrCr2Ru after structural relaxation, with properties calculated at the PBE-GGA level. Values from VASP.

```
&SYSTEM
  ibrav = 0, nat = 4, ntyp = 3
/
ATOMIC_SPECIES
Cr 52.00 Cr.upf
Ru 101.07 Ru.upf
Zr 91.22 Zr.upf
ATOMIC_POSITIONS angstrom
Cr 0.000 0.000 0.197
Cr 1.535 1.535 1.487
Ru 0.000 0.000 3.031
Zr 1.535 1.535 4.755
CELL_PARAMETERS angstrom
3.070 0.000 0.000
0.000 3.070 0.000
0.000 0.000 6.314
```

Properties
The relative energy among the computed polymorphs comes out at 0.06 eV per formula unit. The space-group type is No. 99. The value obtained for the total magnetization is 0.3 μB per formula unit. The value obtained for the energy is -0.340 hartree per atom. For the formation energy from the elements, the calculation gives 24 meV per atom.



3.
Below is ZrCr2Ru after structural relaxation, with properties calculated at the PBE-GGA level. Values from VASP.

```
&SYSTEM
  ibrav = 0, nat = 4, ntyp = 3
/
ATOMIC_SPECIES
Ru 101.07 Ru.upf
Cr 52.00 Cr.upf
Zr 91.22 Zr.upf
ATOMIC_POSITIONS angstrom
Ru 2.179 0.006 1.538
Cr 0.000 0.000 0.000
Cr 2.174 2.185 0.000
Zr -0.006 2.179 1.538
CELL_PARAMETERS angstrom
4.359 0.011 0.000
-0.012 4.359 0.000
0.000 0.000 3.076
```

Properties
The relative energy among the computed polymorphs comes out at 0.69 eV per formula unit. The space-group type is No. 123. The value obtained for the total magnetization is 0.6 μB per formula unit. The value obtained for the energy is -0.334 hartree per atom. For the formation energy from the elements, the calculation gives 180 meV per atom.



4.
Below is ZrCr2Ru after structural relaxation, with properties calculated at the PBE-GGA level. Values from VASP.

```
&SYSTEM
  ibrav = 0, nat = 4, ntyp = 3
/
ATOMIC_SPECIES
Ru 101.07 Ru.upf
Cr 52.00 Cr.upf
Zr 91.22 Zr.upf
ATOMIC_POSITIONS angstrom
Ru 0.904 -1.684 2.090
Cr 1.553 0.869 1.515
Cr 0.213 0.119 0.207
Zr 2.669 -0.695 3.812
CELL_PARAMETERS angstrom
-1.734 -0.656 2.153
1.776 -3.700 0.303
3.531 1.977 3.445
```

Properties
The relative energy among the computed polymorphs comes out at 1.14 eV per formula unit. The space-group type is No. 47. The value obtained for the total magnetization is 0.0 μB per formula unit. The value obtained for the energy is -0.330 hartree per atom. For the formation energy from the elements, the calculation gives 293 meV per atom.



5.
Below is ZrCrRu2 after structural relaxation, with properties calculated at the PBE-GGA level. Values from VASP.

```
&SYSTEM
  ibrav = 0, nat = 4, ntyp = 3
/
ATOMIC_SPECIES
Zr 91.22 Zr.upf
Ru 101.07 Ru.upf
Cr 52.00 Cr.upf
ATOMIC_POSITIONS angstrom
Zr 1.598 -0.499 2.629
Ru -0.493 -1.971 1.735
Ru 3.096 -0.936 5.209
Cr 1.407 -2.606 4.698
CELL_PARAMETERS angstrom
-2.548 -3.456 0.893
2.334 -1.627 0.363
0.928 0.605 4.988
```

Properties
The space-group type is No. 6. The value obtained for the total magnetization is 1.3 μB per formula unit. The value obtained for the energy is -0.334 hartree per atom. For the formation energy from the elements, the calculation gives 90 meV per atom.



6.
Below is ZrCrRu2 after structural relaxation, with properties calculated at the PBE-GGA level. Values from VASP.

```
&SYSTEM
  ibrav = 0, nat = 4, ntyp = 3
/
ATOMIC_SPECIES
Ru 101.07 Ru.upf
Zr 91.22 Zr.upf
Cr 52.00 Cr.upf
ATOMIC_POSITIONS angstrom
Ru 2.216 1.279 0.904
Ru 0.000 0.000 0.000
Zr 6.647 3.837 2.713
Cr 4.431 2.558 1.809
CELL_PARAMETERS angstrom
4.431 0.000 0.000
2.216 3.837 0.000
2.216 1.279 3.618
```

Properties
The space-group type is No. 216. The value obtained for the total magnetization is 2.1 μB per formula unit. The value obtained for the energy is -0.332 hartree per atom. For the formation energy from the elements, the calculation gives 141 meV per atom.



7.
Below is Zr6CrRu5 after structural relaxation, with properties calculated at the PBE-GGA level. Values from VASP.

```
&SYSTEM
  ibrav = 0, nat = 12, ntyp = 3
/
ATOMIC_SPECIES
Ru 101.07 Ru.upf
Cr 52.00 Cr.upf
Zr 91.22 Zr.upf
ATOMIC_POSITIONS angstrom
Ru -0.449 2.873 -1.496
Ru 2.785 1.116 1.308
Ru 0.681 5.082 2.408
Ru 1.130 2.209 3.903
Ru 2.336 3.989 -0.187
Cr 0.000 0.000 0.000
Zr 1.544 4.333 -2.899
Zr 3.128 3.672 2.521
Zr 0.338 2.526 1.195
Zr 3.579 0.784 4.025
Zr -0.113 5.414 -0.309
Zr 1.996 1.431 -1.388
CELL_PARAMETERS angstrom
4.437 0.019 -1.295
-0.898 5.745 -2.992
-0.074 0.434 8.003
```

Properties
The space-group type is No. 71. The value obtained for the total magnetization is 0.6 μB per formula unit. The value obtained for the energy is -0.347 hartree per atom. For the formation energy from the elements, the calculation gives -506 meV per atom.



8.
Below is ZrCrRu2 after structural relaxation, with properties calculated at the PBE-GGA level. Values from VASP.

```
&SYSTEM
  ibrav = 0, nat = 4, ntyp = 3
/
ATOMIC_SPECIES
Ru 101.07 Ru.upf
Zr 91.22 Zr.upf
Cr 52.00 Cr.upf
ATOMIC_POSITIONS angstrom
Ru 0.084 0.013 0.007
Ru 6.973 1.053 0.617
Zr 13.553 2.047 1.200
Cr 20.133 3.040 1.782
CELL_PARAMETERS angstrom
9.331 0.003 0.002
8.916 2.753 0.002
8.916 1.346 2.401
```

Properties
The space-group type is No. 160. The value obtained for the total magnetization is 0.2 μB per formula unit. The value obtained for the energy is -0.325 hartree per atom. For the formation energy from the elements, the calculation gives 342 meV per atom.



9.
Below is ZrCrRu2 after structural relaxation, with properties calculated at the PBE-GGA level. Values from VASP.

```
&SYSTEM
  ibrav = 0, nat = 8, ntyp = 3
/
ATOMIC_SPECIES
Zr 91.22 Zr.upf
Ru 101.07 Ru.upf
Cr 52.00 Cr.upf
ATOMIC_POSITIONS angstrom
Zr 0.000 0.000 0.000
Zr -3.436 -1.957 -6.837
Ru -2.459 -4.488 -6.049
Ru 0.059 -4.246 -3.762
Ru -2.390 -0.657 -4.557
Ru -3.310 -5.971 -10.121
Cr -0.614 -5.724 -5.408
Cr -0.611 -2.125 -4.395
CELL_PARAMETERS angstrom
-3.434 1.642 -5.824
2.212 -5.892 -2.965
-2.828 -3.430 -3.455
```

Properties
The space-group type is No. 122. The value obtained for the total magnetization is 0.0 μB per formula unit. The value obtained for the energy is -0.328 hartree per atom. For the formation energy from the elements, the calculation gives 258 meV per atom.



10.
Below is ZrCr2Ru after structural relaxation, with properties calculated at the PBE-GGA level. Values from VASP.

```
&SYSTEM
  ibrav = 0, nat = 4, ntyp = 3
/
ATOMIC_SPECIES
Zr 91.22 Zr.upf
Cr 52.00 Cr.upf
Ru 101.07 Ru.upf
ATOMIC_POSITIONS angstrom
Zr 2.213 1.278 0.903
Cr 0.000 0.000 0.000
Cr 6.639 3.833 2.710
Ru 4.426 2.555 1.807
CELL_PARAMETERS angstrom
4.426 0.000 0.000
2.213 3.833 0.000
2.213 1.278 3.614
```

Properties
The relative energy among the computed polymorphs comes out at 0.08 eV per formula unit. The space-group type is No. 216. The value obtained for the total magnetization is 0.4 μB per formula unit. The value obtained for the energy is -0.340 hartree per atom. For the formation energy from the elements, the calculation gives 28 meV per atom.



11.
Below is ZrCr2Ru after structural relaxation, with properties calculated at the PBE-GGA level. Values from VASP.

```
&SYSTEM
  ibrav = 0, nat = 4, ntyp = 3
/
ATOMIC_SPECIES
Cr 52.00 Cr.upf
Ru 101.07 Ru.upf
Zr 91.22 Zr.upf
ATOMIC_POSITIONS angstrom
Cr 1.537 1.537 1.537
Cr 4.611 4.611 4.611
Ru 3.074 3.074 3.074
Zr 0.000 0.000 0.000
CELL_PARAMETERS angstrom
0.000 3.074 3.074
3.074 0.000 3.074
3.074 3.074 0.000
```

Properties
The relative energy among the computed polymorphs comes out at 0.57 eV per formula unit. The space-group type is No. 225. The value obtained for the total magnetization is 0.0 μB per formula unit. The value obtained for the energy is -0.335 hartree per atom. For the formation energy from the elements, the calculation gives 151 meV per atom.



12.
Below is Cr5S8 after structural relaxation, with properties calculated at the PBE-GGA level. Values from VASP.

```
&SYSTEM
  ibrav = 0, nat = 13, ntyp = 2
/
ATOMIC_SPECIES
S 32.06 S.upf
Cr 52.00 Cr.upf
ATOMIC_POSITIONS angstrom
S -9.456 -1.180 -3.338
S -5.370 -3.904 -4.621
S -8.771 -4.435 -4.430
S -1.123 -1.006 -0.482
S -7.213 -3.310 -1.569
S -6.056 -0.650 -3.529
S -13.704 -4.078 -7.477
S -7.614 -1.775 -6.390
Cr -5.224 -2.610 -2.645
Cr -2.677 -2.806 -1.069
Cr -3.939 0.007 -4.231
Cr -9.603 -2.475 -5.314
Cr -5.534 0.521 -1.589
CELL_PARAMETERS angstrom
-6.489 0.830 -0.005
-2.983 -0.302 -5.815
-5.354 -5.613 -2.139
```

Properties
For the formation energy without anion corrections, the calculation gives -669 meV/atom. The relative energy among the computed polymorphs comes out at 0.00 eV per formula unit. The space-group type is No. 12. The value obtained for the total magnetization is 14.0 μB per formula unit. The value obtained for the energy is -0.254 hartree per atom.



13.
Below is Cr5S8 after structural relaxation, with properties calculated at the PBE-GGA level. Values from VASP.

```
&SYSTEM
  ibrav = 0, nat = 39, ntyp = 2
/
ATOMIC_SPECIES
Cr 52.00 Cr.upf
S 32.06 S.upf
ATOMIC_POSITIONS angstrom
Cr -6.911 -3.906 4.853
Cr -2.721 -1.189 -1.397
Cr -2.799 0.694 5.204
Cr -7.810 -2.704 -0.850
Cr -3.698 1.896 -0.499
Cr -2.017 -3.536 1.112
Cr -8.593 1.526 3.242
Cr 0.082 1.433 4.974
Cr -3.458 2.967 2.801
Cr -6.104 3.183 6.349
Cr -7.905 -1.729 2.415
Cr -1.765 -2.540 4.350
Cr -4.505 -5.193 -1.995
Cr -2.705 -0.281 1.939
Cr -7.889 -0.821 5.751
S -6.386 -1.750 4.207
S -3.375 -2.421 2.605
S -5.687 -6.012 -0.038
S -5.542 -5.109 3.330
S -9.456 -0.619 3.946
S -7.333 -0.483 -1.573
S -4.224 -0.260 0.147
S -4.923 4.002 4.392
S -6.403 -2.794 0.975
S -1.154 -1.391 0.408
S -7.222 1.419 5.178
S -7.234 0.411 1.748
S -1.036 0.676 6.953
S -4.207 0.784 3.379
S -4.142 1.834 6.764
S -9.491 -1.705 0.578
S -5.504 -4.071 6.746
S -9.573 -2.686 -2.599
S -5.106 2.061 -2.392
S -3.387 -3.429 -0.824
S -1.119 -0.305 3.776
S -5.068 3.099 1.024
S -3.277 -1.527 5.927
S -6.468 -3.844 -2.410
CELL_PARAMETERS angstrom
-7.079 3.069 -4.345
-3.694 -7.945 -1.248
0.164 2.866 9.947
```

Properties
For the formation energy without anion corrections, the calculation gives -660 meV/atom. The relative energy among the computed polymorphs comes out at 0.13 eV per formula unit. The space-group type is No. 2. The value obtained for the total magnetization is 14.0 μB per formula unit. The value obtained for the energy is -0.254 hartree per atom.



14.
Below is CrS5 after structural relaxation, with properties calculated at the PBE-GGA level. Values from VASP.

```
&SYSTEM
  ibrav = 0, nat = 12, ntyp = 2
/
ATOMIC_SPECIES
S 32.06 S.upf
Cr 52.00 Cr.upf
ATOMIC_POSITIONS angstrom
S -5.547 -1.422 7.656
S -0.668 1.118 7.890
S 3.322 -1.653 5.686
S -0.996 -1.837 2.251
S -3.338 -2.736 8.982
S -0.020 -2.946 5.851
S -1.228 -1.238 11.091
S 1.114 -0.339 4.360
S -1.556 -4.193 5.452
S -2.204 -0.129 7.491
Cr -5.606 -3.490 8.984
Cr 3.382 0.415 4.358
CELL_PARAMETERS angstrom
-6.992 -1.892 6.675
0.276 -4.030 2.186
4.492 2.847 4.481
```

Properties
For the formation energy without anion corrections, the calculation gives -61 meV/atom. The space-group type is No. 2. The value obtained for the total magnetization is 2.0 μB per formula unit. The value obtained for the energy is -0.188 hartree per atom.